# Y2ErGa PBE relaxed
data_Y2ErGa
_chemical_formula_sum 'Y2 Er1 Ga1'
_cell_length_a 3.520
_cell_length_b 3.520
_cell_length_c 8.919
_cell_angle_alpha 90.00
_cell_angle_beta 90.00
_cell_angle_gamma 90.00
_space_group_name_H-M_alt 'P 1'
_space_group_IT_number 1
loop_
_space_group_symop_operation_xyz
'x,y,z'
loop_
_atom_site_label
_atom_site_fract_x
_atom_site_fract_y
_atom_site_fract_z
_atom_site_occupancy
Y1 0.000 0.000 0.790 1
Y2 0.000 0.000 0.210 1
Ga1 0.500 0.500 0.000 1
Er1 0.500 0.500 0.500 1
# **Crystal system**: tetragonal
# **Mass density**: 6.2 g/cm3
# **V**: 111 Å³/cell
# **Space-group type**: P4/mmm, No. 123
# **Offset from the most stable computed form**: 0.42 kcal/mol of atoms
# **ΔE_f**: -6.5 kcal/mol of atoms